# 1
Dy8Ho2Tc: relaxed, PBE.

a b c (Å): 18.556 5.470 6.402
angles (deg): 90.00 91.55 90.00
Space group C2/m (No. 12)
Inequivalent atoms, fractional coordinates:
1 Dy 0.040 0.000 0.242 (multiplicity 4)
2 Dy 0.075 0.500 0.631 (multiplicity 4)
3 Dy 0.149 0.500 0.135 (multiplicity 4)
4 Dy 0.158 0.000 0.823 (multiplicity 4)
5 Ho 0.239 0.000 0.332 (multiplicity 4)
6 Tc 0.000 0.500 0.000 (multiplicity 2)

Values from the calculation:
For the total magnetization, the calculation gives 0.0 μB/f.u. The calculated formation energy is 0.022 eV/atom. As for the electronic total energy: -5.100 eV per atom.

# 2
Cs2SmSO6: relaxed, PBE.

a b c (Å): 6.6837 6.6837 5.7476
angles (deg): 90.00 90.00 120.00
Space group P-3m1 (No. 164)
Inequivalent atoms, fractional coordinates:
1 Cs 0.3333 0.6667 0.1271 (multiplicity 2)
2 Sm 0.0000 0.0000 0.5000 (multiplicity 1)
3 S 0.0000 0.0000 0.0000 (multiplicity 1)
4 O 0.1194 0.2388 0.8280 (multiplicity 6)

Values from the calculation:
Its energy relative to the elements, uncorrected is -1.569 eV per atom. For the total magnetization, the calculation gives 1.0 μB/f.u. As for the electronic total energy: -5.599 eV per atom.

# 3
Ac6S5: relaxed, PBE.

a b c (Å): 7.467 12.892 7.446
angles (deg): 90.00 109.52 90.00
Space group C2/m (No. 12)
Inequivalent atoms, fractional coordinates:
1 Ac 0.249 0.167 0.248 (multiplicity 8)
2 Ac 0.250 0.000 0.754 (multiplicity 4)
3 S 0.000 0.000 0.000 (multiplicity 2)
4 S 0.000 0.166 0.500 (multiplicity 4)
5 S 0.000 0.332 0.000 (multiplicity 4)

Values from the calculation:
Its energy relative to the elements, uncorrected is -1.787 eV per atom. For the total magnetization, the calculation gives 0.0 μB/f.u. As for the electronic total energy: -5.904 eV per atom.

# 4
TcSb2PtW: relaxed, PBE.

a b c (Å): 5.134 5.134 4.763
angles (deg): 90.00 90.00 90.00
Space group P4/mmm (No. 123)
Inequivalent atoms, fractional coordinates:
1 Tc 0.000 0.000 0.000 (multiplicity 1)
2 Sb 0.000 0.500 0.500 (multiplicity 2)
3 Pt 0.500 0.500 0.000 (multiplicity 1)
4 W 0.000 0.000 0.500 (multiplicity 1)

Values from the calculation:
Its energy relative to the elements, uncorrected is 1.351 eV per atom. For the total magnetization, the calculation gives 1.4 μB/f.u. As for the electronic total energy: -6.170 eV per atom.

# 5
BaLiGe2: relaxed, PBE.

a b c (Å): 4.784 11.852 7.278
angles (deg): 90.00 90.00 90.00
Space group Cmcm (No. 63)
Inequivalent atoms, fractional coordinates:
1 Ba 0.000 0.116 0.250 (multiplicity 4)
2 Li 0.000 0.167 0.750 (multiplicity 4)
3 Ge 0.000 0.402 0.078 (multiplicity 8)

Values from the calculation:
For the total magnetization, the calculation gives 0.0 μB/f.u. The calculated formation energy is -0.468 eV/atom. As for the electronic total energy: -3.735 eV per atom.

# 6
MgTaOs2: relaxed, PBE.

a b c (Å): 2.796 4.362 5.345
angles (deg): 90.00 105.11 90.00
Space group Pm (No. 6)
Inequivalent atoms, fractional coordinates:
1 Mg 0.000 0.000 0.000 (multiplicity 1)
2 Ta 0.446 0.500 0.738 (multiplicity 1)
3 Os 0.001 0.000 0.491 (multiplicity 1)
4 Os 0.467 0.500 0.234 (multiplicity 1)

Values from the calculation:
For the total magnetization, the calculation gives 0.0 μB/f.u. The calculated formation energy is 0.112 eV/atom. As for the electronic total energy: -8.865 eV per atom.

# 7
Tm2NiBr: relaxed, PBE.

a b c (Å): 3.8863 3.8863 22.3886
angles (deg): 90.00 90.00 120.00
Space group R-3m (No. 166, hexagonal axes)
Inequivalent atoms, fractional coordinates:
1 Tm 0.0000 0.0000 0.2296 (multiplicity 6)
2 Ni 0.0000 0.0000 0.5000 (multiplicity 3)
3 Br 0.0000 0.0000 0.0000 (multiplicity 3)

Values from the calculation:
Its energy relative to the elements, uncorrected is -0.812 eV per atom. For the total magnetization, the calculation gives 0.0 μB/f.u. As for the electronic total energy: -4.911 eV per atom.

# 8
SrCa3Rh: relaxed, PBE.

a b c (Å): 12.979 8.102 9.512
angles (deg): 90.00 132.71 90.00
Space group Cm (No. 8)
Inequivalent atoms, fractional coordinates:
1 Sr 0.000 0.000 0.000 (multiplicity 2)
2 Sr 0.087 0.000 0.657 (multiplicity 2)
3 Ca 0.008 0.500 0.014 (multiplicity 2)
4 Ca 0.082 0.500 0.665 (multiplicity 2)
5 Ca 0.247 0.251 0.486 (multiplicity 4)
6 Ca 0.333 0.246 0.162 (multiplicity 4)
7 Rh 0.038 0.500 0.332 (multiplicity 2)
8 Rh 0.301 0.000 0.333 (multiplicity 2)

Values from the calculation:
For the total magnetization, the calculation gives 0.0 μB/f.u. The calculated formation energy is -0.214 eV/atom. As for the electronic total energy: -3.222 eV per atom.

# 9
TaCr3Cu2S8: relaxed, PBE.

a b c (Å): 7.787 5.823 11.967
angles (deg): 90.00 90.00 90.00
Space group Pmn2_1 (No. 31)
Inequivalent atoms, fractional coordinates:
1 Ta 0.000 0.220 0.000 (multiplicity 2)
2 Cr 0.000 0.117 0.770 (multiplicity 2)
3 Cr 0.000 0.566 0.168 (multiplicity 2)
4 Cr 0.000 0.727 0.963 (multiplicity 2)
5 Cu 0.000 0.112 0.422 (multiplicity 2)
6 Cu 0.000 0.597 0.622 (multiplicity 2)
7 S 0.000 0.454 0.333 (multiplicity 2)
8 S 0.000 0.483 0.808 (multiplicity 2)
9 S 0.000 0.944 0.142 (multiplicity 2)
10 S 0.000 0.981 0.602 (multiplicity 2)
11 S 0.205 0.983 0.886 (multiplicity 4)
12 S 0.221 0.492 0.056 (multiplicity 4)

Values from the calculation:
Its energy relative to the elements, uncorrected is -0.437 eV per atom. For the total magnetization, the calculation gives 4.9 μB/f.u. As for the electronic total energy: -6.290 eV per atom.

# 10
Al2C: relaxed, PBE.

a b c (Å): 5.278 5.278 5.278
angles (deg): 90.00 90.00 90.00
Space group Pa-3 (No. 205)
Inequivalent atoms, fractional coordinates:
1 Al 0.139 0.139 0.139 (multiplicity 8)
2 C 0.000 0.000 0.500 (multiplicity 4)

Values from the calculation:
For the total magnetization, the calculation gives 0.0 μB/f.u. The calculated formation energy is 0.491 eV/atom. As for the electronic total energy: -5.079 eV per atom.

# 11
Ba2HgP2: relaxed, PBE.

a b c (Å): 9.421 9.421 3.622
angles (deg): 90.00 90.00 90.00
Space group P4/mbm (No. 127)
Inequivalent atoms, fractional coordinates:
1 Ba 0.146 0.354 0.000 (multiplicity 4)
2 Hg 0.000 0.000 0.000 (multiplicity 2)
3 P 0.153 0.653 0.500 (multiplicity 4)

Values from the calculation:
For the total magnetization, the calculation gives 0.5 μB/f.u. The calculated formation energy is -0.417 eV/atom. As for the electronic total energy: -3.410 eV per atom.

# 12
NaTiIn: relaxed, PBE.

a b c (Å): 16.510 3.110 5.384
angles (deg): 90.00 90.00 90.00
Space group Amm2 (No. 38)
Inequivalent atoms, fractional coordinates:
1 Na 0.180 0.000 0.000 (multiplicity 4)
2 Ti 0.354 0.000 0.336 (multiplicity 4)
3 In 0.000 0.000 0.331 (multiplicity 2)
4 In 0.500 0.000 0.003 (multiplicity 2)

Values from the calculation:
For the total magnetization, the calculation gives 0.8 μB/f.u. The calculated formation energy is 0.243 eV/atom. As for the electronic total energy: -3.741 eV per atom.